Crystalline TlSiBC2 at its relaxed geometry. Source: the Alexandria database, functional GGA-PBE.

The structure in CIF format:
```
data_TlSiBC2
_space_group_name_H-M_alt 'P 1'
_space_group_IT_number 1
_cell_length_a 3.615
_cell_length_b 6.215
_cell_length_c 3.615
_cell_angle_alpha 90.00
_cell_angle_beta 90.00
_cell_angle_gamma 90.00
loop_
_space_group_symop_operation_xyz
'x,y,z'
loop_
_atom_site_label
_atom_site_type_symbol
_atom_site_fract_x
_atom_site_fract_y
_atom_site_fract_z
C1 C 0.000 0.000 0.500
Si1 Si 0.000 0.000 0.000
C2 C 0.500 0.000 0.000
Tl1 Tl 0.000 0.500 0.000
B1 B 0.500 0.500 0.500
```

Its total moment is 0.00 μB per cell. The calculation puts the formation energy without anion corrections at 2.06 eV/atom. The space group is No. 123.


Crystalline SiBWC2 at its relaxed geometry. Source: the Alexandria database, functional GGA-PBE.

The structure in CIF format:
```
data_SiBWC2
_space_group_name_H-M_alt 'P 1'
_space_group_IT_number 1
_cell_length_a 3.470
_cell_length_b 5.197
_cell_length_c 3.470
_cell_angle_alpha 90.00
_cell_angle_beta 90.00
_cell_angle_gamma 90.00
loop_
_space_group_symop_operation_xyz
'x,y,z'
loop_
_atom_site_label
_atom_site_type_symbol
_atom_site_fract_x
_atom_site_fract_y
_atom_site_fract_z
Si1 Si 0.000 0.000 0.000
B1 B 0.500 0.500 0.500
C1 C 0.500 0.000 0.000
W1 W 0.000 0.500 0.000
C2 C 0.000 0.000 0.500
```

Its total moment is 0.00 μB per cell. The calculation puts the formation energy without anion corrections at 2.05 eV/atom. The space group is No. 123.


- Look up the formation energy without anion corrections of the first one.
  2.06 eV/atom